Density functional theory data (PBE with a Hubbard U) for a relaxed Li2CrO3 crystal.

Unit cell a=5.2195 b=8.6153 c=5.0236 alpha=90.00 beta=112.17 gamma=90.00
Last column: nearest neighbours and their distance in Å.
Space group Cc (No. 9)
Inequivalent atoms, fractional coordinates:
Li (0.0000, 0.0821, 0.0000) (multiplicity 4)  5 O 2.00-2.17
Li (0.0131, 0.2445, 0.4835) (multiplicity 4)  6 O 2.08-2.15
Cr (0.0233, 0.4091, 0.9946) (multiplicity 4)  6 O 1.87-2.08
O (0.2360, 0.4241, 0.7446) (multiplicity 4)  2 Cr 1.96-1.97, 4 Li 2.02-2.17
O (0.2575, 0.2541, 0.2221) (multiplicity 4)  2 Cr 1.88-2.08, 3 Li 2.03-2.10
O (0.3009, 0.0686, 0.7091) (multiplicity 4)  2 Cr 1.87-2.01, 1 Li 2.00

Results
electronic total energy = -6.232 eV per atom
relative energy among the computed polymorphs = 45 meV per atom